Density functional theory data (PBE) for a relaxed RbMnSe2 crystal.

It has space group Fm-3m (No. 225), with a = 6.9973 Å, b = 6.9973 Å, c = 6.9973 Å, α = 90.00°, β = 90.00° and γ = 90.00°. The inequivalent atoms are Rb at (0.0000, 0.0000, 0.0000), Mn at (0.0000, 0.0000, 0.5000) and Se at (0.2500, 0.2500, 0.2500).

For the calculated total energy, the calculation gives -3.741 eV/atom. The total magnetic moment is 0.00 μB per formula unit. As for the energy relative to the elements, uncorrected: 0.536 eV/atom. Its crystal system is cubic. The density of states at the Fermi level comes out at 1.3874 states/eV/atom.